Record 1
{
  "formula": "Pr3Ho3Tm",
  "functional": "PBE-GGA",
  "state": "relaxed",
  "formation_enthalpy_0k_ev_per_atom": 0.03,
  "dos_at_fermi_per_ev_fu": 11.57,
  "lattice_angstrom": [[-4.7771, -2.2512, -2.3585], [-0.8577, -6.0272, 7.4904], [-4.2246, 8.6735, 0.2778]],
  "species": ["Ho", "Ho", "Pr", "Ho", "Ho", "Pr", "Tm", "Pr", "Pr", "Tm", "Pr", "Ho", "Ho", "Pr"],
  "frac_coords": [[0.7500, 0.6151, 0.0957], [0.7500, 0.9043, 0.5193], [0.2500, 0.2448, 0.1947], [0.2500, 0.5193, 0.6151], [0.2500, 0.0957, 0.4807], [0.7500, 0.1948, 0.9498], [0.7500, 0.3334, 0.6667], [0.7500, 0.0503, 0.2451], [0.2500, 0.8052, 0.0502], [0.2500, 0.6666, 0.3333], [0.2500, 0.9497, 0.7549], [0.7500, 0.4807, 0.3849], [0.2500, 0.3849, 0.9043], [0.7500, 0.7552, 0.8053]]
}

---

Record 2
{
  "formula": "RbCePS6",
  "functional": "PBE-GGA",
  "state": "relaxed",
  "e_form_raw_ev_per_atom": -0.494,
  "dos_at_fermi_per_ev_fu": 7.18,
  "lattice_angstrom": [[-3.2701, -4.8235, 3.1027], [3.3052, -5.0931, 2.5910], [0.6524, 3.7020, 6.4438]],
  "species": ["Ce", "Rb", "S", "S", "S", "P", "S", "S", "S"],
  "frac_coords": [[0.6666, 0.6666, 0.5000], [0.9999, 0.0000, 0.0000], [0.3240, 0.6139, 0.3308], [0.0621, 0.3239, 0.3309], [0.6139, 0.3241, 0.6692], [0.3334, 0.3333, 0.5000], [0.6140, 0.0619, 0.3308], [0.3239, 0.0622, 0.6692], [0.0620, 0.6141, 0.6690]]
}

---

Record 3
{
  "formula": "ZrOsSe2",
  "functional": "PBE-GGA",
  "state": "relaxed",
  "e_form_raw_ev_per_atom": 0.036,
  "dos_at_fermi_per_ev_fu": 2.19,
  "lattice_angstrom": [[-0.1463, 4.9455, -1.4747], [-2.9141, -3.2706, -2.7324], [-4.0155, 1.3756, -0.1493]],
  "species": ["Se", "Os", "Se", "Zr"],
  "frac_coords": [[0.0000, 0.0000, 0.0000], [0.0000, 0.5000, 0.5000], [0.5000, 0.5000, 0.0000], [0.5000, 0.0000, 0.5000]]
}

---

Record 4
{
  "formula": "Ba2GeSbTe5",
  "functional": "PBE-GGA",
  "state": "relaxed",
  "e_form_raw_ev_per_atom": -0.844,
  "dos_at_fermi_per_ev_fu": 0.95,
  "lattice_angstrom": [[-3.9720, -0.7452, 2.5611], [7.7299, -2.3958, 6.8223], [0.2885, 12.8614, 4.1898]],
  "species": ["Ge", "Ba", "Ba", "Ge", "Te", "Te", "Te", "Te", "Te", "Te", "Te", "Sb", "Sb", "Te", "Ba", "Ba", "Te", "Te"],
  "frac_coords": [[0.5644, 0.1288, 0.9472], [0.8867, 0.7733, 0.1849], [0.1225, 0.2450, 0.3085], [0.4356, 0.8712, 0.4472], [0.5012, 0.0024, 0.7746], [0.7170, 0.4341, 0.1713], [0.6868, 0.3736, 0.8695], [0.6472, 0.2944, 0.4984], [0.2830, 0.5659, 0.6713], [0.9520, 0.9039, 0.5442], [0.3528, 0.7056, 0.9984], [0.7873, 0.5746, 0.5253], [0.2127, 0.4254, 0.0253], [0.4988, 0.9976, 0.2746], [0.8775, 0.7550, 0.8085], [0.1133, 0.2267, 0.6849], [0.0480, 0.0961, 0.0442], [0.3132, 0.6264, 0.3695]]
}

---

Record 5
{
  "formula": "Cd2MoW",
  "functional": "PBE-GGA",
  "state": "relaxed",
  "formation_enthalpy_0k_ev_per_atom": 0.57,
  "dos_at_fermi_per_ev_fu": 2.38,
  "lattice_angstrom": [[5.6363, 0.0129, 0.0463], [-2.4378, 4.9504, -0.0234], [0.7608, 0.7112, 2.5579]],
  "species": ["Mo", "Cd", "Cd", "W"],
  "frac_coords": [[0.0000, 0.5000, 0.5000], [0.0000, 0.0000, 0.0000], [0.5000, 0.0000, 0.5000], [0.5000, 0.5000, 0.0000]]
}

---

Record 6
{
  "formula": "Mo2As2Br",
  "functional": "PBE-GGA",
  "state": "relaxed",
  "e_form_raw_ev_per_atom": 0.124,
  "dos_at_fermi_per_ev_fu": 4.99,
  "lattice_angstrom": [[-4.7769, -5.1239, 2.4473], [4.0889, -5.3230, -3.1636], [1.7008, -0.2970, 2.6980]],
  "species": ["Mo", "As", "As", "Mo", "Mo", "Br", "Br", "As", "Mo", "As"],
  "frac_coords": [[0.3600, 0.8600, 0.0000], [0.1412, 0.6412, 0.5000], [0.8588, 0.3588, 0.5000], [0.8600, 0.6400, 0.0000], [0.6400, 0.1400, 0.0000], [0.0000, 0.0000, 0.0000], [0.5000, 0.5000, 0.0000], [0.3588, 0.1412, 0.5000], [0.1400, 0.3600, 0.0000], [0.6412, 0.8588, 0.5000]]
}

---

Record 7
{
  "formula": "Ce3Ni2As2H4",
  "functional": "PBE-GGA",
  "state": "relaxed",
  "e_tot_ev_per_atom": -5.3280,
  "dos_at_fermi_per_ev_fu": 13.72,
  "lattice_angstrom": [[-3.0547, -0.9337, 2.3168], [1.3635, -3.6899, 0.3107], [6.2345, 4.9925, 6.8719]],
  "species": ["H", "H", "Ce", "Ni", "H", "Ce", "H", "As", "As", "Ce", "Ni"],
  "frac_coords": [[0.5739, 0.0739, 0.1479], [0.4261, 0.9261, 0.8521], [0.0000, 0.0000, 0.0000], [0.4333, 0.4333, 0.8666], [0.0739, 0.5739, 0.1479], [0.1648, 0.1648, 0.3296], [0.9261, 0.4261, 0.8521], [0.3091, 0.3091, 0.6182], [0.6909, 0.6909, 0.3818], [0.8352, 0.8352, 0.6704], [0.5667, 0.5667, 0.1334]]
}

---

Record 8
{
  "formula": "Ac2PrPd",
  "functional": "PBE-GGA",
  "state": "relaxed",
  "formation_enthalpy_0k_ev_per_atom": -0.32,
  "dos_at_fermi_per_ev_fu": 6.10,
  "lattice_angstrom": [[-3.2003, 1.5179, 1.5399], [-1.6238, 0.1291, -3.5020], [-3.4047, -8.4633, 1.2667]],
  "species": ["Pr", "Ac", "Pd", "Ac"],
  "frac_coords": [[0.5000, 0.5000, 0.5000], [0.0000, 0.0000, 0.8018], [0.5000, 0.5000, 0.0000], [0.0000, 0.0000, 0.1982]]
}

---

Record 9
{
  "formula": "Tl2SnBi3",
  "functional": "PBE-GGA",
  "state": "relaxed",
  "formation_enthalpy_0k_ev_per_atom": -0.01,
  "dos_at_fermi_per_ev_fu": 2.75,
  "lattice_angstrom": [[6.6113, -0.0145, -0.7565], [-0.8507, 6.5563, -0.7565], [-0.0280, -0.0318, 8.7752]],
  "species": ["Tl", "Tl", "Bi", "Tl", "Sn", "Sn", "Bi", "Bi", "Bi", "Tl", "Bi", "Bi"],
  "frac_coords": [[0.3750, 0.8743, 0.6252], [0.1257, 0.6250, 0.8748], [0.5857, 0.4143, 0.7500], [0.6250, 0.1257, 0.3748], [0.9122, 0.0878, 0.7500], [0.0878, 0.9122, 0.2500], [0.4143, 0.5857, 0.2500], [0.1611, 0.3247, 0.4966], [0.3247, 0.1611, 0.9966], [0.8743, 0.3750, 0.1252], [0.8389, 0.6753, 0.5034], [0.6753, 0.8389, 0.0034]]
}

---

Record 10
{
  "formula": "RbInRhN2",
  "functional": "PBE-GGA",
  "state": "relaxed",
  "e_form_raw_ev_per_atom": 2.733,
  "dos_at_fermi_per_ev_fu": 4.65,
  "lattice_angstrom": [[4.5264, 0.0000, 0.0000], [0.0000, 6.1893, 0.0000], [0.0000, 0.0000, 4.5264]],
  "species": ["In", "N", "Rb", "Rh", "N"],
  "frac_coords": [[0.0000, 0.5000, 0.0000], [0.5000, 0.0000, 0.0000], [0.0000, 0.0000, 0.0000], [0.5000, 0.5000, 0.5000], [0.0000, 0.0000, 0.5000]]
}

---

Record 11
{
  "formula": "LaTb8Pr2",
  "functional": "PBE-GGA",
  "state": "relaxed",
  "formation_enthalpy_0k_ev_per_atom": 0.15,
  "dos_at_fermi_per_ev_fu": 18.01,
  "lattice_angstrom": [[5.5601, -0.6217, -0.4343], [0.8150, 9.8808, 2.5703], [0.8150, 5.8137, 8.3927]],
  "species": ["Pr", "Tb", "La", "Tb", "Tb", "Tb", "Pr", "Tb", "Tb", "Tb", "Tb"],
  "frac_coords": [[0.2512, 0.7153, 0.7153], [0.2667, 0.6009, 0.1368], [0.0000, 0.0000, 0.0000], [0.7333, 0.8632, 0.3991], [0.7609, 0.4549, 0.4549], [0.2347, 0.1867, 0.1867], [0.7488, 0.2847, 0.2847], [0.7333, 0.3991, 0.8632], [0.2391, 0.5451, 0.5451], [0.7653, 0.8133, 0.8133], [0.2667, 0.1368, 0.6009]]
}

---

Record 12
{
  "formula": "ZrHg2Pb",
  "functional": "PBE-GGA",
  "state": "relaxed",
  "formation_enthalpy_0k_ev_per_atom": 0.03,
  "dos_at_fermi_per_ev_fu": 3.10,
  "lattice_angstrom": [[-10.5157, 0.0091, -1.2773], [-10.1632, -2.9831, 0.1489], [-10.3910, -0.2501, 2.0437]],
  "species": ["Hg", "Zr", "Hg", "Pb"],
  "frac_coords": [[0.7452, 0.7452, 0.7452], [0.2542, 0.2542, 0.2542], [0.9976, 0.9976, 0.9976], [0.5030, 0.5030, 0.5030]]
}